Na2CrIrO4 | PBE with a Hubbard U | relaxed

a b c (Å): 5.3635 3.1438 5.5848
angles (deg): 90.00 108.98 90.00
Last column: nearest neighbours and their distance in Å.
Element x y z (fractional)
Na: 0.0000 0.0000 0.0000  6 O 2.36-2.39
Na: 0.5000 0.5000 0.0000  6 O 2.42-2.43
Cr: 0.0000 0.5000 0.5000  6 O 2.04-2.07
Ir: 0.5000 0.0000 0.5000  6 O 2.10-2.13
O: 0.2239 0.0000 0.7004  2 Cr 2.07, 1 Ir 2.13
O: 0.2601 0.5000 0.3020  1 Cr 2.04, 2 Ir 2.10
O: 0.7399 0.5000 0.6980  1 Cr 2.04, 2 Ir 2.10
O: 0.7761 0.0000 0.2996  2 Cr 2.07, 1 Ir 2.13

## Properties
mass density: 6.60 g/cm3
symmetry: P2/m
uncorrected energy: -6.280 eV per atom



Na3Cr2IrO6 | PBE with a Hubbard U | relaxed

a b c (Å): 5.3345 5.3345 5.6242
angles (deg): 99.09 99.09 119.96
Last column: nearest neighbours and their distance in Å.
Element x y z (fractional)
Na: 0.0000 0.0000 0.0000  6 O 2.36-2.41
Na: 0.3369 0.6631 0.0000  6 O 2.38-2.41
Na: 0.6631 0.3369 0.0000  6 O 2.38-2.41
Cr: 0.1668 0.8332 0.5000  6 O 2.05-2.06
Cr: 0.8332 0.1668 0.5000  6 O 2.05-2.06
Ir: 0.5000 0.5000 0.5000  6 O 2.12
O: 0.0908 0.4331 0.2995  2 Cr 2.05-2.06, 1 Ir 2.12
O: 0.2241 0.2241 0.7002  2 Cr 2.05, 1 Ir 2.12
O: 0.4331 0.0908 0.2995  2 Cr 2.05-2.06, 1 Ir 2.12
O: 0.5669 0.9092 0.7005  2 Cr 2.05-2.06, 1 Ir 2.12
O: 0.7759 0.7759 0.2998  2 Cr 2.05, 1 Ir 2.12
O: 0.9092 0.5669 0.7005  2 Cr 2.05-2.06, 1 Ir 2.12

## Properties
mass density: 5.82 g/cm3
symmetry: C2/m
uncorrected energy: -6.395 eV per atom
density of states at the Fermi level: 0.0 states/eV/f.u.